No. 1
Below is a PBEsol-optimized structure of LaFe3Se, with properties calculated at the meta-GGA SCAN level.

Cell lengths 4.445, 4.445, 4.445 Å; angles 90.00, 90.00, 90.00 degrees
Atoms (fractional coordinates):
La  0.000  0.000  0.000
Fe  0.000  0.500  0.500
Fe  0.500  0.000  0.500
Fe  0.500  0.500  0.000
Se  0.500  0.500  0.500

Summary:
energy above the most stable polymorph in this dataset	0.00	eV/f.u.
symmetry	No. 221
E_form (uncorrected)	1.51	eV per formula unit

No. 2
Below is a PBEsol-optimized structure of Be3AsSe, with properties calculated at the meta-GGA SCAN level.

Cell lengths 4.285, 4.285, 4.285 Å; angles 90.00, 90.00, 90.00 degrees
Atoms (fractional coordinates):
Be  0.000  0.000  0.500
Be  0.000  0.500  0.000
Be  0.500  0.000  0.000
As  0.500  0.500  0.500
Se  0.000  0.000  0.000

Summary:
symmetry	No. 221
E_form (uncorrected)	4.12	eV per formula unit

No. 3
Below is a PBEsol-optimized structure of Pr3Ni2Sn7, with properties calculated at the meta-GGA SCAN level.

Cell lengths 13.790, 13.790, 4.541 Å; angles 90.00, 90.00, 160.93 degrees
Atoms (fractional coordinates):
Pr  0.000  0.000  0.000
Pr  0.315  0.685  0.500
Pr  0.685  0.315  0.500
Ni  0.128  0.872  0.000
Ni  0.872  0.128  0.000
Sn  0.090  0.910  0.500
Sn  0.219  0.781  0.000
Sn  0.410  0.590  0.000
Sn  0.500  0.500  0.500
Sn  0.590  0.410  0.000
Sn  0.781  0.219  0.000
Sn  0.910  0.090  0.500

Summary:
formation energy	-0.664	eV per atom
symmetry	No. 65

No. 4
Below is a PBEsol-optimized structure of LaMgPb, with properties calculated at the meta-GGA SCAN level.

Cell lengths 5.014, 5.014, 3.842 Å; angles 90.00, 90.00, 120.00 degrees
Atoms (fractional coordinates):
La  0.000  0.000  0.000
Mg  0.667  0.333  0.500
Pb  0.333  0.667  0.501

Summary:
formation energy	-0.581	eV per atom
symmetry	No. 156

No. 5
Below is a PBEsol-optimized structure of Mg2ZnIn, with properties calculated at the meta-GGA SCAN level.

Cell lengths 3.115, 3.115, 8.238 Å; angles 90.00, 90.00, 90.00 degrees
Atoms (fractional coordinates):
Mg  0.000  0.000  0.219
Mg  0.000  0.000  0.781
Zn  0.500  0.500  0.000
In  0.500  0.500  0.500

Summary:
formation energy	-0.145	eV per atom
symmetry	No. 123

No. 6
Below is a PBEsol-optimized structure of InCo2Ni, with properties calculated at the meta-GGA SCAN level.

Cell lengths 2.653, 4.155, 4.706 Å; angles 90.00, 99.16, 90.00 degrees
Atoms (fractional coordinates):
In  0.000  0.000  0.000
Co  0.295  0.500  0.721
Co  0.705  0.500  0.279
Ni  0.500  0.000  0.500

Summary:
formation energy	0.219	eV per atom
symmetry	No. 10

No. 7
Below is a PBEsol-optimized structure of PRuRh2, with properties calculated at the meta-GGA SCAN level.

Cell lengths 8.140, 8.140, 8.140 Å; angles 19.43, 19.43, 19.43 degrees
Atoms (fractional coordinates):
P  0.000  0.000  0.000
Ru  0.500  0.500  0.500
Rh  0.259  0.259  0.259
Rh  0.741  0.741  0.741

Summary:
formation energy	-0.120	eV per atom
symmetry	No. 166

No. 8
Below is a PBEsol-optimized structure of ScBN2F, with properties calculated at the meta-GGA SCAN level.

Cell lengths 3.306, 3.306, 3.654 Å; angles 90.00, 90.00, 90.00 degrees
Atoms (fractional coordinates):
Sc  0.000  0.000  0.000
B  0.500  0.500  0.500
N  0.000  0.500  0.500
N  0.500  0.000  0.500
F  0.500  0.500  0.000

Summary:
symmetry	No. 123
E_form (uncorrected)	-4.47	eV per formula unit

No. 9
Below is a PBEsol-optimized structure of Tl5Hg, with properties calculated at the meta-GGA SCAN level.

Cell lengths 5.934, 5.934, 5.404 Å; angles 90.00, 90.00, 120.00 degrees
Atoms (fractional coordinates):
Tl  0.000  0.327  0.000
Tl  0.327  0.000  0.000
Tl  0.333  0.667  0.500
Tl  0.667  0.333  0.500
Tl  0.673  0.673  0.000
Hg  0.000  0.000  0.500

Summary:
energy above the most stable polymorph in this dataset	0.02	eV/f.u.
formation energy	0.009	eV per atom
symmetry	No. 189

No. 10
Below is a PBEsol-optimized structure of CaScZn2, with properties calculated at the meta-GGA SCAN level.

Cell lengths 5.819, 5.819, 4.918 Å; angles 114.61, 114.61, 32.88 degrees
Atoms (fractional coordinates):
Ca  0.000  0.000  0.000
Sc  0.201  0.201  0.699
Zn  0.459  0.459  0.460
Zn  0.766  0.766  0.262

Summary:
formation energy	-0.196	eV per atom
symmetry	No. 8

No. 11
Below is a PBEsol-optimized structure of ZrOs3F, with properties calculated at the meta-GGA SCAN level.

Cell lengths 4.212, 4.212, 4.212 Å; angles 90.00, 90.00, 90.00 degrees
Atoms (fractional coordinates):
Zr  0.000  0.000  0.000
Os  0.000  0.500  0.500
Os  0.500  0.000  0.500
Os  0.500  0.500  0.000
F  0.500  0.500  0.500

Summary:
energy above the most stable polymorph in this dataset	0.00	eV/f.u.
symmetry	No. 221
E_form (uncorrected)	4.60	eV per formula unit

No. 12
Below is a PBEsol-optimized structure of Zr4TlAg, with properties calculated at the meta-GGA SCAN level.

Cell lengths 5.648, 5.648, 5.648 Å; angles 60.00, 60.00, 60.00 degrees
Atoms (fractional coordinates):
Zr  0.125  0.125  0.125
Zr  0.125  0.125  0.625
Zr  0.125  0.625  0.125
Zr  0.625  0.125  0.125
Tl  0.500  0.500  0.500
Ag  0.750  0.750  0.750

Summary:
formation energy	0.332	eV per atom
symmetry	No. 216

| no. | energy (eV per atom) |
| --- | --- |
| 1 | -23.213 |
| 2 | -9.843 |
| 3 | -35.145 |
| 4 | -41.867 |
| 5 | -14.357 |
| 6 | -20.823 |
| 7 | -28.312 |
| 8 | -9.651 |
| 9 | -71.650 |
| 10 | -12.928 |
| 11 | -49.055 |
| 12 | -37.421 |